# Er5ThSc4

A relaxed Er5ThSc4 crystal (PBE-GGA, Alexandria via LeMat-Bulk).

abc: 8.2296 8.2296 10.9230
angles: 108.03 108.03 23.75
Fractional positions:
Er 0.0000 0.0000 0.0000
Er 0.2908 0.2908 0.3815
Er 0.3093 0.3093 0.9202
Er 0.6907 0.6907 0.0798
Er 0.7092 0.7092 0.6185
Th 0.0000 0.0000 0.5000
Sc 0.1039 0.1039 0.7982
Sc 0.4196 0.4196 0.7064
Sc 0.5804 0.5804 0.2936
Sc 0.8961 0.8961 0.2018

As for the final energy: -5.52 eV/atom. As for the mass density: 7.331 g cm⁻³. The space-group type is C2/m (12). The calculation puts the calculated formation energy at 3.7 kJ per mole of atoms. As for the energy above the most stable polymorph in this dataset: 0 meV/atom. The total magnetic moment is 0.00 Bohr magnetons per cell.